The following is a DFT calculation (GGA-PBE) of a relaxed SmTm2ZrN4 crystal. Values from VASP.

```
&SYSTEM
  ibrav = 0, nat = 8, ntyp = 4
/
ATOMIC_SPECIES
Sm 150.36 Sm.upf
Tm 168.93 Tm.upf
Zr 91.22 Zr.upf
N 14.01 N.upf
CELL_PARAMETERS angstrom
5.8821 0.0000 0.0000
0.0000 3.4001 0.0000
-1.9514 0.0000 5.5816
ATOMIC_POSITIONS crystal
Sm 0.0000 0.0000 0.0000
Tm 0.5000 0.0000 0.5000
Tm 0.5000 0.5000 0.0000
Zr 0.0000 0.5000 0.5000
N 0.2454 0.0000 0.7367
N 0.2523 0.5000 0.2654
N 0.7477 0.5000 0.7346
N 0.7546 0.0000 0.2633
```

* raw formation energy: -1.7026 eV/atom